[1]
Below is crystalline CsGdAsSe3 at its relaxed geometry, with properties calculated at the PBE-GGA level.

a = 8.1670 Å, b = 8.1670 Å, c = 11.7584 Å
α = 90.00°, β = 90.00°, γ = 148.72°
Last column: nearest neighbours and their distance in Å.
Element x y z (fractional)
Cs (0.2280, 0.7720, 0.7500)  2 Se 3.63, 2 As 3.73
Cs (0.7720, 0.2280, 0.2500)  2 Se 3.63, 2 As 3.73
Gd (0.5000, 0.5000, 0.0000)  6 Se 2.92-2.94
Gd (0.5000, 0.5000, 0.5000)  6 Se 2.92-2.94
As (0.0804, 0.9196, 0.2500)  4 Se 2.55-2.74
As (0.9196, 0.0804, 0.7500)  4 Se 2.55-2.74
Se (0.1203, 0.8797, 0.0229)  1 As 2.74, 2 Gd 2.92
Se (0.1203, 0.8797, 0.4771)  1 As 2.74, 2 Gd 2.92
Se (0.4982, 0.5018, 0.2500)  2 As 2.55
Se (0.5018, 0.4982, 0.7500)  2 As 2.55
Se (0.8797, 0.1203, 0.5229)  1 As 2.74, 2 Gd 2.92
Se (0.8797, 0.1203, 0.9771)  1 As 2.74, 2 Gd 2.92

## Properties
Calculated density in Mg/m³: 4.9
Total energy in Ry per atom: -0.3299
Symmetry: No. 63

[2]
Below is crystalline TmSc2In3CuGe2 at its relaxed geometry, with properties calculated at the PBE-GGA level.

a = 4.0791 Å, b = 7.2604 Å, c = 7.2604 Å
α = 120.23°, β = 90.00°, γ = 90.00°
Last column: nearest neighbours and their distance in Å.
Element x y z (fractional)
Tm (0.0000, 0.0000, 0.0000)  1 Cu 2.96, 4 Ge 3.04, 6 In 3.25-3.28
Sc (0.0000, 0.1944, 0.5974)  1 Cu 2.90, 4 Ge 2.99-3.00, 2 In 3.25
Sc (0.0000, 0.5974, 0.1944)  1 Cu 2.90, 4 Ge 2.99-3.00, 2 In 3.25
In (0.5000, 0.3498, 0.3498)  2 Cu 2.69, 2 Ge 2.81
In (0.5000, 0.5937, 0.8414)  2 Cu 2.72, 2 Ge 2.74-2.81
In (0.5000, 0.8414, 0.5937)  2 Cu 2.72, 2 Ge 2.74-2.81
Cu (0.0000, 0.5913, 0.5913)  6 In 2.69-2.72, 2 Sc 2.90, 1 Tm 2.96
Ge (0.5000, 0.2672, 0.9281)  3 In 2.74-2.81, 4 Sc 2.99-3.00, 2 Tm 3.04
Ge (0.5000, 0.9281, 0.2672)  3 In 2.74-2.81, 4 Sc 2.99-3.00, 2 Tm 3.04

## Properties
Calculated density in Mg/m³: 7.3
Total energy in Ry per atom: -0.3457
Symmetry: No. 38

[3]
Below is crystalline MgZrGeOs at its relaxed geometry, with properties calculated at the PBE-GGA level.

a = 4.5406 Å, b = 4.5406 Å, c = 4.5406 Å
α = 60.00°, β = 60.00°, γ = 60.00°
Last column: nearest neighbours and their distance in Å.
Element x y z (fractional)
Mg (0.0000, 0.0000, 0.0000)  4 Zr 2.78, 4 Ge 2.78
Zr (0.7500, 0.7500, 0.7500)  4 Os 2.78, 4 Mg 2.78
Ge (0.2500, 0.2500, 0.2500)  4 Mg 2.78, 4 Os 2.78
Os (0.5000, 0.5000, 0.5000)  4 Zr 2.78, 4 Ge 2.78

## Properties
Calculated density in Mg/m³: 9.5
Total energy in Ry per atom: -0.4939
Symmetry: No. 216
Energy above the lowest structure with this stoichiometry in kJ/mol of atoms: 0.0

[4]
Below is crystalline HoNpOs at its relaxed geometry, with properties calculated at the PBE-GGA level.

a = 4.6850 Å, b = 4.6850 Å, c = 4.6850 Å
α = 60.00°, β = 60.00°, γ = 60.00°
Last column: nearest neighbours and their distance in Å.
Element x y z (fractional)
Ho (0.0000, 0.0000, 0.0000)  4 Os 2.87
Np (0.5000, 0.5000, 0.5000)  4 Os 2.87
Os (0.2500, 0.2500, 0.2500)  4 Ho 2.87, 4 Np 2.87

## Properties
Calculated density in Mg/m³: 13.5
E_form in kJ/mol of atoms: 14.3
Total energy in Ry per atom: -0.6892
Symmetry: No. 216
Energy above the lowest structure with this stoichiometry in kJ/mol of atoms: 0.0

[5]
Below is crystalline ZrSn2Mo at its relaxed geometry, with properties calculated at the PBE-GGA level.

a = 4.9050 Å, b = 4.9050 Å, c = 4.9050 Å
α = 60.00°, β = 60.00°, γ = 60.00°
Last column: nearest neighbours and their distance in Å.
Element x y z (fractional)
Zr (0.0000, 0.0000, 0.0000)  4 Sn 3.00, 4 Mo 3.00
Sn (0.5000, 0.5000, 0.5000)  4 Sn 3.00, 4 Mo 3.00
Sn (0.7500, 0.7500, 0.7500)  4 Zr 3.00, 4 Sn 3.00
Mo (0.2500, 0.2500, 0.2500)  4 Zr 3.00, 4 Sn 3.00

## Properties
Calculated density in Mg/m³: 8.4
Total energy in Ry per atom: -0.4838
Symmetry: No. 216

[6]
Below is crystalline Hf2AlHg at its relaxed geometry, with properties calculated at the PBE-GGA level.

a = 4.8958 Å, b = 4.8958 Å, c = 4.8958 Å
α = 60.00°, β = 60.00°, γ = 60.00°
Last column: nearest neighbours and their distance in Å.
Element x y z (fractional)
Hf (0.0000, 0.0000, 0.0000)  4 Hg 3.00, 4 Hf 3.00
Hf (0.2500, 0.2500, 0.2500)  4 Hf 3.00, 4 Al 3.00
Al (0.5000, 0.5000, 0.5000)  4 Hg 3.00, 4 Hf 3.00
Hg (0.7500, 0.7500, 0.7500)  4 Hf 3.00, 4 Al 3.00

## Properties
Calculated density in Mg/m³: 11.7
Total energy in Ry per atom: -0.4177
Symmetry: No. 216

[7]
Below is crystalline GaAgI4O12 at its relaxed geometry, with properties calculated at the PBE-GGA level.

a = 7.0279 Å, b = 7.5319 Å, c = 9.9530 Å
α = 87.62°, β = 77.68°, γ = 79.77°
Last column: nearest neighbours and their distance in Å.
Element x y z (fractional)
Ga (0.0793, 0.0100, 0.2205)  6 O 1.95-2.01
Ga (0.9207, 0.9900, 0.7795)  6 O 1.95-2.01
Ag (0.4005, 0.1463, 0.9249)  6 O 2.43-2.67
Ag (0.5995, 0.8537, 0.0751)  6 O 2.43-2.67
I (0.1552, 0.6572, 0.9866)  3 O 1.86-1.87
I (0.2084, 0.2758, 0.6477)  3 O 1.84-1.88
I (0.2614, 0.7716, 0.5094)  3 O 1.82-1.87
I (0.3426, 0.3157, 0.2620)  3 O 1.83-1.88
I (0.6574, 0.6843, 0.7380)  3 O 1.83-1.88
I (0.7386, 0.2284, 0.4906)  3 O 1.82-1.87
I (0.7916, 0.7242, 0.3523)  3 O 1.84-1.88
I (0.8448, 0.3428, 0.0134)  3 O 1.86-1.87
O (0.0239, 0.4320, 0.8720)  1 I 1.87
O (0.0346, 0.7870, 0.6489)  1 I 1.87, 1 Ga 1.99
O (0.0453, 0.1765, 0.0656)  1 I 1.86, 1 Ga 1.97
O (0.1181, 0.8294, 0.3713)  1 I 1.86, 1 Ga 2.01
O (0.1732, 0.0719, 0.7591)  1 I 1.88, 1 Ga 1.95
O (0.2387, 0.8187, 0.0876)  1 I 1.86, 1 Ga 2.01
O (0.2787, 0.5298, 0.4879)  1 I 1.82
O (0.3187, 0.1504, 0.4862)  1 I 1.85
O (0.3425, 0.0794, 0.2081)  1 I 1.88, 1 Ga 1.99
O (0.3824, 0.4022, 0.0834)  1 I 1.85
O (0.3973, 0.7139, 0.7274)  1 I 1.83
O (0.4403, 0.2918, 0.6999)  1 I 1.84
O (0.5597, 0.7082, 0.3001)  1 I 1.84
O (0.6027, 0.2861, 0.2726)  1 I 1.83
O (0.6176, 0.5978, 0.9166)  1 I 1.85
O (0.6575, 0.9206, 0.7919)  1 I 1.88, 1 Ga 1.99
O (0.6813, 0.8496, 0.5138)  1 I 1.85
O (0.7213, 0.4702, 0.5121)  1 I 1.82
O (0.7613, 0.1813, 0.9124)  1 I 1.86, 1 Ga 2.01
O (0.8268, 0.9281, 0.2409)  1 I 1.88, 1 Ga 1.95
O (0.8819, 0.1706, 0.6287)  1 I 1.86, 1 Ga 2.01
O (0.9547, 0.8235, 0.9344)  1 I 1.86, 1 Ga 1.97
O (0.9654, 0.2130, 0.3511)  1 I 1.87, 1 Ga 1.99
O (0.9761, 0.5680, 0.1280)  1 I 1.87

## Properties
Calculated density in Mg/m³: 5.8
Total energy in Ry per atom: -0.3276
Symmetry: No. 2

[8]
Below is crystalline LaSnSbPd2 at its relaxed geometry, with properties calculated at the PBE-GGA level.

a = 4.6797 Å, b = 4.6797 Å, c = 10.5826 Å
α = 90.00°, β = 90.00°, γ = 90.00°
Last column: nearest neighbours and their distance in Å.
Element x y z (fractional)
La (0.2500, 0.2500, 0.2429)  8 Pd 3.48-3.58, 4 Sn 3.54, 4 Sb 3.59
La (0.7500, 0.7500, 0.7571)  8 Pd 3.48-3.58, 4 Sn 3.54, 4 Sb 3.59
Sn (0.2500, 0.2500, 0.8749)  5 Pd 2.62-2.69
Sn (0.7500, 0.7500, 0.1251)  5 Pd 2.62-2.69
Sb (0.2500, 0.7500, 0.5000)  4 Pd 2.70
Sb (0.7500, 0.2500, 0.5000)  4 Pd 2.70
Pd (0.2500, 0.2500, 0.6272)  1 Sn 2.62, 4 Sb 2.70
Pd (0.2500, 0.7500, 0.0000)  4 Sn 2.69
Pd (0.7500, 0.2500, 0.0000)  4 Sn 2.69
Pd (0.7500, 0.7500, 0.3728)  1 Sn 2.62, 4 Sb 2.70

## Properties
Calculated density in Mg/m³: 8.5
Total energy in Ry per atom: -0.4051
Symmetry: No. 129
Energy above the lowest structure with this stoichiometry in kJ/mol of atoms: 7.1

[9]
Below is crystalline LiTeAuO at its relaxed geometry, with properties calculated at the PBE-GGA level.

a = 3.0807 Å, b = 7.4950 Å, c = 6.5696 Å
α = 90.00°, β = 90.00°, γ = 90.00°
Last column: nearest neighbours and their distance in Å.
Element x y z (fractional)
Li (0.0000, 0.2126, 0.0000)  2 O 1.82
Li (0.0000, 0.7874, 0.5000)  2 O 1.82
Te (0.0000, 0.1657, 0.5292)  2 Li 2.84-3.11, 2 Te 3.08
Te (0.0000, 0.8343, 0.0292)  2 Li 2.84-3.11, 2 Te 3.08
Au (0.5000, 0.4919, 0.2957)  2 O 2.04-2.05
Au (0.5000, 0.5081, 0.7957)  2 O 2.04-2.05
O (0.5000, 0.3381, 0.0396)  2 Li 1.82, 1 Au 2.04
O (0.5000, 0.6619, 0.5396)  2 Li 1.82, 1 Au 2.04

## Properties
Calculated density in Mg/m³: 7.6
Total energy in Ry per atom: -0.2821
Symmetry: No. 26
Energy above the lowest structure with this stoichiometry in kJ/mol of atoms: 0.0

[10]
Below is crystalline NdPuGa at its relaxed geometry, with properties calculated at the PBE-GGA level.

a = 4.8031 Å, b = 4.8031 Å, c = 4.8031 Å
α = 60.00°, β = 60.00°, γ = 60.00°
Last column: nearest neighbours and their distance in Å.
Element x y z (fractional)
Nd (0.0000, 0.0000, 0.0000)  4 Pu 2.94, 4 Ga 2.94
Pu (0.2500, 0.2500, 0.2500)  4 Nd 2.94
Ga (0.7500, 0.7500, 0.7500)  4 Nd 2.94

## Properties
Calculated density in Mg/m³: 9.7
Total energy in Ry per atom: -0.5128
Symmetry: No. 216